one | Compound: Ho2ErHg
Source: OQMD
Functional: PBE-GGA
Structure: relaxed

POSCAR file:
```
Ho2ErHg
1.0
3.409 -5.907 0.000
3.409 5.907 0.000
0.000 0.000 5.372
Er Hg Ho
2 2 4
Direct
0.172 0.828 0.250
0.828 0.172 0.750
0.667 0.333 0.250
0.333 0.667 0.750
0.172 0.344 0.250
0.656 0.828 0.250
0.344 0.172 0.750
0.828 0.656 0.750
```

Output
calculated volume: 27.04 Å³/atom
symmetry: Cmcm (63)
total magnetic moment: 0.01 μB per formula unit

***

two | Compound: Ho2ErHg
Source: OQMD
Functional: PBE-GGA
Structure: relaxed

POSCAR file:
```
Ho2ErHg
1.0
-0.053 4.115 -2.963
-4.633 2.770 3.930
5.763 2.019 2.701
Er Hg Ho
2 2 4
Direct
0.250 0.572 0.345
0.750 0.345 0.572
0.750 0.427 0.073
0.250 0.073 0.427
0.750 0.928 0.155
0.750 0.859 0.640
0.250 0.640 0.859
0.250 0.155 0.928
```

Output
calculated volume: 27.47 Å³/atom
symmetry: Ama2 (40)
total magnetic moment: 0.02 μB per formula unit

***

three | Compound: Ho2ErHg
Source: OQMD
Functional: PBE-GGA
Structure: relaxed

POSCAR file:
```
Ho2ErHg
1.0
-0.664 -4.637 2.712
-2.414 3.415 5.246
-6.647 0.911 -0.071
Er Hg Ho
2 2 4
Direct
0.000 0.346 0.346
0.500 0.655 0.655
0.000 0.837 0.340
0.000 0.340 0.837
0.500 0.155 0.155
0.500 0.662 0.160
0.500 0.160 0.662
0.000 0.845 0.845
```

Output
calculated volume: 27.68 Å³/atom
symmetry: Amm2 (38)
total magnetic moment: 0.02 μB per formula unit

***

Most stable: two. Least stable: three.

***

one | Compound: Ho2Er3Hg3
Source: OQMD
Functional: PBE-GGA
Structure: relaxed

POSCAR file:
```
Ho2Er3Hg3
1.0
-0.421 3.877 3.890
4.296 -3.184 3.638
6.089 1.837 -1.172
Er Hg Ho
3 3 2
Direct
0.500 0.679 0.166
0.500 0.166 0.679
0.000 0.853 0.853
0.500 0.170 0.170
0.000 0.794 0.362
0.000 0.362 0.794
0.000 0.307 0.307
0.500 0.667 0.667
```

Output
calculated volume: 26.59 Å³/atom
symmetry: Amm2 (38)
total magnetic moment: 0.08 μB per formula unit

***

two | Compound: Ho2Er3Hg3
Source: OQMD
Functional: PBE-GGA
Structure: relaxed

POSCAR file:
```
Ho2Er3Hg3
1.0
6.871 0.000 0.000
-3.436 5.951 0.000
0.000 0.000 5.190
Er Hg Ho
3 3 2
Direct
0.339 0.170 0.500
0.830 0.170 0.500
0.830 0.661 0.500
0.501 0.002 0.000
0.501 0.499 0.000
0.998 0.499 0.000
0.000 0.000 0.000
0.333 0.667 0.500
```

Output
calculated volume: 26.53 Å³/atom
symmetry: P-6m2 (187)
total magnetic moment: 0.10 μB per formula unit

***

Most stable: one. Least stable: two.